VASP calculation (PBE) on a relaxed ZnCu2Se crystal.

Computed properties:
SG   R-3m
Excess energy over the best structure of this formula in the dataset   168.1 meV/atom
Density of states at the Fermi level   0.34 states/eV per atom
Total energy   -3.050 eV/atom
Energy relative to the elements, uncorrected   0.188 eV/atom

abc: 8.020 8.020 8.020
angles: 21.60 21.60 21.60
Fractional positions:
Zn 0.000 0.000 0.000
Cu 0.250 0.250 0.250
Cu 0.750 0.750 0.750
Se 0.500 0.500 0.500